No. 1
Ba2GePt PBE optimized geometry; ΔE_f = -263.5 kJ/mol of formula units; DOS at the Fermi energy = 1.797 states/eV/cell; space-group type = Amm2; size of the total moment = 0.00 Bohr magnetons per cell; electronic total energy = -17.235 eV/f.u.; calculated volume = 131 Å³ per cell
1.0
-3.7694 -0.2174 -2.6909
-0.9856 -4.6601 1.7572
-2.5629 4.5235 3.2246
Ba Ge Pt
2 1 1
Direct
0.0000 0.9760 0.9521
0.5000 0.2704 0.5407
0.5000 0.5811 0.1622
0.0000 0.6718 0.3435

No. 2
CaNd3Y2S6 PBE optimized geometry; DOS at the Fermi energy = 5.193 states/eV/cell; space-group type = C2/m; size of the total moment = 0.00 Bohr magnetons per cell; electronic total energy = -78.349 eV/f.u.; calculated volume = 273 Å³ per cell; formation energy (no corrections) = -2029 meV per atom
1.0
6.9067 -0.0020 0.0036
-3.4534 5.9814 0.0036
-1.1482 -1.9881 6.6149
Ca Nd Y S
1 3 2 6
Direct
0.0000 0.0000 0.0000
0.1648 0.8352 0.5000
0.8352 0.1648 0.5000
0.5000 0.5000 0.5000
0.3332 0.6668 0.0000
0.6668 0.3332 0.0000
0.9209 0.5861 0.7623
0.7437 0.7437 0.2342
0.0791 0.4139 0.2377
0.5861 0.9209 0.7623
0.2563 0.2563 0.7658
0.4139 0.0791 0.2377

No. 3
HfCdGaB2 PBE optimized geometry; ΔE_f = 639.5 kJ/mol of formula units; DOS at the Fermi energy = 3.781 states/eV/cell; space-group type = P4/mmm; size of the total moment = 0.00 Bohr magnetons per cell; electronic total energy = -20.622 eV/f.u.; calculated volume = 88 Å³ per cell
1.0
-4.0211 0.5513 0.8174
-0.5189 -5.0268 0.8374
0.8923 0.5746 4.0019
B Hf Ga Cd
2 1 1 1
Direct
0.0000 0.0000 0.5000
0.5000 0.0000 0.0000
0.0000 0.5000 0.0000
0.0000 0.0000 0.0000
0.5000 0.5000 0.5000